(1)
# Tb2Y2Ho2Er PBE relaxed
# Formation energy = 0.1378 eV/atom
# Crystal system = trigonal
# N(E_F) = 52.793 states/eV per cell
# ρ = 7.3 g/cm3
data_Tb2Y2Ho2Er
_cell_length_a 5.6489
_cell_length_b 5.6489
_cell_length_c 24.3636
_cell_angle_alpha 90.00
_cell_angle_beta 90.00
_cell_angle_gamma 120.00
_symmetry_space_group_name_H-M 'R -3 m'
_symmetry_Int_Tables_number 166
_symmetry_space_group_name_Hall '-R 3 2"'
loop_
_atom_site_label
_atom_site_fract_x
_atom_site_fract_y
_atom_site_fract_z
Tb1 0.0000 0.0000 0.2135
Y1 0.0000 0.0000 0.3581
Ho1 0.0000 0.0000 0.0708
Er1 0.0000 0.0000 0.5000



(2)
# TbYHo3Er PBE relaxed
# Formation energy = 0.2177 eV/atom
# Crystal system = monoclinic
# N(E_F) = 37.974 states/eV per cell
# ρ = 7.9 g/cm3
data_TbYHo3Er
_cell_length_a 18.658
_cell_length_b 5.700
_cell_length_c 7.194
_cell_angle_alpha 90.00
_cell_angle_beta 90.50
_cell_angle_gamma 90.00
_symmetry_space_group_name_H-M 'C 1 2/m 1'
_symmetry_Int_Tables_number 12
loop_
_symmetry_equiv_pos_as_xyz
'x,y,z'
'-x,-y,-z'
'-x,y,-z'
'x,-y,z'
'x+1/2,y+1/2,z'
'-x+1/2,-y+1/2,-z'
'-x+1/2,y+1/2,-z'
'x+1/2,-y+1/2,z'
loop_
_atom_site_label
_atom_site_fract_x
_atom_site_fract_y
_atom_site_fract_z
Tb1 0.043 0.000 0.254
Y1 0.148 0.500 0.035
Ho1 0.022 0.500 0.743
Ho2 0.168 0.000 0.744
Ho3 0.217 0.000 0.250
Er1 0.149 0.500 0.459



(3)
# TbYHo2Er6 PBE relaxed
# Formation energy = 0.1201 eV/atom
# Crystal system = monoclinic
# N(E_F) = 57.035 states/eV per cell
# ρ = 8.3 g/cm3
data_TbYHo2Er6
_cell_length_a 8.959
_cell_length_b 14.949
_cell_length_c 9.479
_cell_angle_alpha 90.00
_cell_angle_beta 97.57
_cell_angle_gamma 90.00
_symmetry_space_group_name_H-M 'C 1 2/c 1'
_symmetry_Int_Tables_number 15
loop_
_symmetry_equiv_pos_as_xyz
'x,y,z'
'-x,-y,-z'
'-x,y,-z+1/2'
'x,-y,z+1/2'
'x+1/2,y+1/2,z'
'-x+1/2,-y+1/2,-z'
'-x+1/2,y+1/2,-z+1/2'
'x+1/2,-y+1/2,z+1/2'
loop_
_atom_site_label
_atom_site_fract_x
_atom_site_fract_y
_atom_site_fract_z
Tb1 0.000 0.091 0.250
Y1 0.000 0.477 0.750
Ho1 0.249 0.446 0.044
Er1 0.062 0.312 0.444
Er2 0.104 0.106 0.620
Er3 0.203 0.275 0.816



(4)
# TbY6HoEr2 PBE relaxed
# Formation energy = 0.1199 eV/atom
# Crystal system = monoclinic
# N(E_F) = 62.028 states/eV per cell
# ρ = 6.1 g/cm3
data_TbY6HoEr2
_cell_length_a 9.089
_cell_length_b 14.965
_cell_length_c 9.577
_cell_angle_alpha 90.00
_cell_angle_beta 98.01
_cell_angle_gamma 90.00
_symmetry_space_group_name_H-M 'C 1 2/c 1'
_symmetry_Int_Tables_number 15
loop_
_symmetry_equiv_pos_as_xyz
'x,y,z'
'-x,-y,-z'
'-x,y,-z+1/2'
'x,-y,z+1/2'
'x+1/2,y+1/2,z'
'-x+1/2,-y+1/2,-z'
'-x+1/2,y+1/2,-z+1/2'
'x+1/2,-y+1/2,z+1/2'
loop_
_atom_site_label
_atom_site_fract_x
_atom_site_fract_y
_atom_site_fract_z
Tb1 0.000 0.024 0.250
Y1 0.062 0.184 0.944
Y2 0.101 0.394 0.118
Y3 0.208 0.224 0.316
Ho1 0.000 0.409 0.750
Er1 0.248 0.051 0.546



(5)
# Tb2YHoEr2 PBE relaxed
# Formation energy = 0.0699 eV/atom
# Crystal system = orthorhombic
# N(E_F) = 23.686 states/eV per cell
# ρ = 8.0 g/cm3
data_Tb2YHoEr2
_cell_length_a 6.997
_cell_length_b 9.632
_cell_length_c 5.583
_cell_angle_alpha 90.00
_cell_angle_beta 90.00
_cell_angle_gamma 90.00
_symmetry_space_group_name_H-M 'P n n m'
_symmetry_Int_Tables_number 58
loop_
_symmetry_equiv_pos_as_xyz
'x,y,z'
'-x,-y,-z'
'-x,-y,z'
'x,y,-z'
'x+1/2,-y+1/2,-z+1/2'
'-x+1/2,y+1/2,z+1/2'
'-x+1/2,y+1/2,-z+1/2'
'x+1/2,-y+1/2,z+1/2'
loop_
_atom_site_label
_atom_site_fract_x
_atom_site_fract_y
_atom_site_fract_z
Tb1 0.250 0.166 0.000
Y1 0.000 0.000 0.500
Ho1 0.000 0.500 0.000
Er1 0.250 0.333 0.500



(6)
# Tb2Y3Ho6Er PBE relaxed
# Formation energy = 0.0205 eV/atom
# Crystal system = monoclinic
# N(E_F) = 33.498 states/eV per cell
# ρ = 7.7 g/cm3
data_Tb2Y3Ho6Er
_cell_length_a 6.134
_cell_length_b 10.612
_cell_length_c 11.736
_cell_angle_alpha 90.00
_cell_angle_beta 99.97
_cell_angle_gamma 90.00
_symmetry_space_group_name_H-M 'C 1 2/m 1'
_symmetry_Int_Tables_number 12
loop_
_symmetry_equiv_pos_as_xyz
'x,y,z'
'-x,-y,-z'
'-x,y,-z'
'x,-y,z'
'x+1/2,y+1/2,z'
'-x+1/2,-y+1/2,-z'
'-x+1/2,y+1/2,-z'
'x+1/2,-y+1/2,z'
loop_
_atom_site_label
_atom_site_fract_x
_atom_site_fract_y
_atom_site_fract_z
Tb1 0.000 0.167 0.000
Y1 0.000 0.000 0.500
Y2 0.000 0.333 0.500
Ho1 0.250 0.000 0.249
Ho2 0.250 0.167 0.751
Er1 0.000 0.500 0.000



(7)
# TbYHo2Er2 PBE relaxed
# Formation energy = 0.0736 eV/atom
# Crystal system = orthorhombic
# N(E_F) = 22.845 states/eV per cell
# ρ = 8.1 g/cm3
data_TbYHo2Er2
_cell_length_a 6.961
_cell_length_b 9.631
_cell_length_c 5.582
_cell_angle_alpha 90.00
_cell_angle_beta 90.00
_cell_angle_gamma 90.00
_symmetry_space_group_name_H-M 'P n n m'
_symmetry_Int_Tables_number 58
loop_
_symmetry_equiv_pos_as_xyz
'x,y,z'
'-x,-y,-z'
'-x,-y,z'
'x,y,-z'
'x+1/2,-y+1/2,-z+1/2'
'-x+1/2,y+1/2,z+1/2'
'-x+1/2,y+1/2,-z+1/2'
'x+1/2,-y+1/2,z+1/2'
loop_
_atom_site_label
_atom_site_fract_x
_atom_site_fract_y
_atom_site_fract_z
Tb1 0.000 0.000 0.000
Y1 0.000 0.500 0.500
Ho1 0.250 0.166 0.500
Er1 0.250 0.333 0.000



(8)
# Tb2Y4HoEr2 PBE relaxed
# Formation energy = 0.0043 eV/atom
# Crystal system = monoclinic
# N(E_F) = 25.337 states/eV per cell
# ρ = 6.8 g/cm3
data_Tb2Y4HoEr2
_cell_length_a 18.621
_cell_length_b 3.584
_cell_length_c 9.511
_cell_angle_alpha 90.00
_cell_angle_beta 115.79
_cell_angle_gamma 90.00
_symmetry_space_group_name_H-M 'C 1 2/m 1'
_symmetry_Int_Tables_number 12
loop_
_symmetry_equiv_pos_as_xyz
'x,y,z'
'-x,-y,-z'
'-x,y,-z'
'x,-y,z'
'x+1/2,y+1/2,z'
'-x+1/2,-y+1/2,-z'
'-x+1/2,y+1/2,-z'
'x+1/2,-y+1/2,z'
loop_
_atom_site_label
_atom_site_fract_x
_atom_site_fract_y
_atom_site_fract_z
Tb1 0.149 0.000 0.168
Y1 0.019 0.500 0.834
Y2 0.185 0.000 0.832
Ho1 0.000 0.000 0.500
Er1 0.167 0.500 0.499



(9)
# Tb6Y2Ho3Er PBE relaxed
# Formation energy = 0.0174 eV/atom
# Crystal system = monoclinic
# N(E_F) = 32.289 states/eV per cell
# ρ = 7.9 g/cm3
data_Tb6Y2Ho3Er
_cell_length_a 6.151
_cell_length_b 10.642
_cell_length_c 11.750
_cell_angle_alpha 90.00
_cell_angle_beta 99.98
_cell_angle_gamma 90.00
_symmetry_space_group_name_H-M 'C 1 2/m 1'
_symmetry_Int_Tables_number 12
loop_
_symmetry_equiv_pos_as_xyz
'x,y,z'
'-x,-y,-z'
'-x,y,-z'
'x,-y,z'
'x+1/2,y+1/2,z'
'-x+1/2,-y+1/2,-z'
'-x+1/2,y+1/2,-z'
'x+1/2,-y+1/2,z'
loop_
_atom_site_label
_atom_site_fract_x
_atom_site_fract_y
_atom_site_fract_z
Tb1 0.248 0.000 0.249
Tb2 0.250 0.166 0.751
Y1 0.000 0.333 0.500
Ho1 0.000 0.167 0.000
Ho2 0.000 0.500 0.000
Er1 0.000 0.000 0.500



(10)
# Tb2Y6HoEr PBE relaxed
# Formation energy = 0.1172 eV/atom
# Crystal system = monoclinic
# N(E_F) = 59.008 states/eV per cell
# ρ = 6.1 g/cm3
data_Tb2Y6HoEr
_cell_length_a 9.062
_cell_length_b 14.986
_cell_length_c 9.638
_cell_angle_alpha 90.00
_cell_angle_beta 98.87
_cell_angle_gamma 90.00
_symmetry_space_group_name_H-M 'C 1 2/c 1'
_symmetry_Int_Tables_number 15
loop_
_symmetry_equiv_pos_as_xyz
'x,y,z'
'-x,-y,-z'
'-x,y,-z+1/2'
'x,-y,z+1/2'
'x+1/2,y+1/2,z'
'-x+1/2,-y+1/2,-z'
'-x+1/2,y+1/2,-z+1/2'
'x+1/2,-y+1/2,z+1/2'
loop_
_atom_site_label
_atom_site_fract_x
_atom_site_fract_y
_atom_site_fract_z
Tb1 0.246 0.051 0.045
Y1 0.062 0.185 0.444
Y2 0.102 0.395 0.619
Y3 0.205 0.223 0.815
Ho1 0.000 0.408 0.250
Er1 0.000 0.022 0.750



(11)
# TbYHo6Er2 PBE relaxed
# Formation energy = 0.1199 eV/atom
# Crystal system = monoclinic
# N(E_F) = 57.708 states/eV per cell
# ρ = 8.2 g/cm3
data_TbYHo6Er2
_cell_length_a 8.985
_cell_length_b 14.975
_cell_length_c 9.494
_cell_angle_alpha 90.00
_cell_angle_beta 97.41
_cell_angle_gamma 90.00
_symmetry_space_group_name_H-M 'C 1 2/c 1'
_symmetry_Int_Tables_number 15
loop_
_symmetry_equiv_pos_as_xyz
'x,y,z'
'-x,-y,-z'
'-x,y,-z+1/2'
'x,-y,z+1/2'
'x+1/2,y+1/2,z'
'-x+1/2,-y+1/2,-z'
'-x+1/2,y+1/2,-z+1/2'
'x+1/2,-y+1/2,z+1/2'
loop_
_atom_site_label
_atom_site_fract_x
_atom_site_fract_y
_atom_site_fract_z
Tb1 0.000 0.091 0.250
Y1 0.000 0.476 0.750
Ho1 0.062 0.313 0.444
Ho2 0.104 0.106 0.620
Ho3 0.204 0.274 0.816
Er1 0.250 0.054 0.956



(12)
# Tb3Ho6Er2Zr PBE relaxed
# Formation energy = 0.0405 eV/atom
# Crystal system = monoclinic
# N(E_F) = 29.800 states/eV per cell
# ρ = 8.7 g/cm3
data_Tb3Ho6Er2Zr
_cell_length_a 6.065
_cell_length_b 10.486
_cell_length_c 11.582
_cell_angle_alpha 90.00
_cell_angle_beta 99.96
_cell_angle_gamma 90.00
_symmetry_space_group_name_H-M 'C 1 2/m 1'
_symmetry_Int_Tables_number 12
loop_
_symmetry_equiv_pos_as_xyz
'x,y,z'
'-x,-y,-z'
'-x,y,-z'
'x,-y,z'
'x+1/2,y+1/2,z'
'-x+1/2,-y+1/2,-z'
'-x+1/2,y+1/2,-z'
'x+1/2,-y+1/2,z'
loop_
_atom_site_label
_atom_site_fract_x
_atom_site_fract_y
_atom_site_fract_z
Tb1 0.000 0.000 0.000
Tb2 0.000 0.333 0.000
Ho1 0.245 0.336 0.744
Ho2 0.246 0.500 0.257
Er1 0.000 0.167 0.500
Zr1 0.000 0.500 0.500



(13)
# Tb6Ho3Er2Zr PBE relaxed
# Formation energy = 0.0424 eV/atom
# Crystal system = monoclinic
# N(E_F) = 29.590 states/eV per cell
# ρ = 8.5 g/cm3
data_Tb6Ho3Er2Zr
_cell_length_a 6.080
_cell_length_b 10.511
_cell_length_c 11.608
_cell_angle_alpha 90.00
_cell_angle_beta 99.95
_cell_angle_gamma 90.00
_symmetry_space_group_name_H-M 'C 1 2/m 1'
_symmetry_Int_Tables_number 12
loop_
_symmetry_equiv_pos_as_xyz
'x,y,z'
'-x,-y,-z'
'-x,y,-z'
'x,-y,z'
'x+1/2,y+1/2,z'
'-x+1/2,-y+1/2,-z'
'-x+1/2,y+1/2,-z'
'x+1/2,-y+1/2,z'
loop_
_atom_site_label
_atom_site_fract_x
_atom_site_fract_y
_atom_site_fract_z
Tb1 0.245 0.000 0.256
Tb2 0.245 0.164 0.745
Ho1 0.000 0.167 0.000
Ho2 0.000 0.500 0.000
Er1 0.000 0.333 0.500
Zr1 0.000 0.000 0.500



(14)
# Tb2Ho5ErZr PBE relaxed
# Formation energy = 0.1746 eV/atom
# Crystal system = orthorhombic
# N(E_F) = 54.452 states/eV per cell
# ρ = 8.4 g/cm3
data_Tb2Ho5ErZr
_cell_length_a 5.474
_cell_length_b 20.327
_cell_length_c 9.967
_cell_angle_alpha 90.00
_cell_angle_beta 90.00
_cell_angle_gamma 90.00
_symmetry_space_group_name_H-M 'C m c 21'
_symmetry_Int_Tables_number 36
loop_
_symmetry_equiv_pos_as_xyz
'x,y,z'
'-x,-y,z+1/2'
'-x,y,z'
'x,-y,z+1/2'
'x+1/2,y+1/2,z'
'-x+1/2,-y+1/2,z+1/2'
'-x+1/2,y+1/2,z'
'x+1/2,-y+1/2,z+1/2'
loop_
_atom_site_label
_atom_site_fract_x
_atom_site_fract_y
_atom_site_fract_z
Tb1 0.000 0.109 0.000
Tb2 0.000 0.121 0.577
Ho1 0.000 0.016 0.299
Ho2 0.000 0.265 0.974
Ho3 0.000 0.301 0.611
Ho4 0.000 0.363 0.288
Ho5 0.000 0.484 0.572
Er1 0.000 0.402 0.863
Zr1 0.000 0.188 0.289



(15)
# HoEr3Tc PBE relaxed
# Formation energy = 0.1415 eV/atom
# Crystal system = cubic
# ΔE to the lowest computed polymorph = 1.14 eV/f.u.
# N(E_F) = 7.696 states/eV per cell
# ρ = 8.4 g/cm3
data_HoEr3Tc
_cell_length_a 5.335
_cell_length_b 5.335
_cell_length_c 5.335
_cell_angle_alpha 90.00
_cell_angle_beta 90.00
_cell_angle_gamma 90.00
_symmetry_space_group_name_H-M 'P m -3 m'
_symmetry_Int_Tables_number 221
_symmetry_space_group_name_Hall '-P 4 2 3'
loop_
_atom_site_label
_atom_site_fract_x
_atom_site_fract_y
_atom_site_fract_z
Ho1 0.000 0.000 0.000
Er1 0.000 0.500 0.500
Tc1 0.500 0.500 0.500



(16)
# HoErTc4 PBE relaxed
# Formation energy = -0.1735 eV/atom
# Crystal system = cubic
# N(E_F) = 34.326 states/eV per cell
# ρ = 10.9 g/cm3
data_HoErTc4
_cell_length_a 7.619
_cell_length_b 7.619
_cell_length_c 7.619
_cell_angle_alpha 90.00
_cell_angle_beta 90.00
_cell_angle_gamma 90.00
_symmetry_space_group_name_H-M 'F -4 3 m'
_symmetry_Int_Tables_number 216
_symmetry_space_group_name_Hall 'F -4 2 3'
loop_
_atom_site_label
_atom_site_fract_x
_atom_site_fract_y
_atom_site_fract_z
Ho1 0.000 0.000 0.000
Er1 0.250 0.250 0.250
Tc1 0.125 0.125 0.625



(17)
# HoEr3Tc PBE relaxed
# Formation energy = -0.0356 eV/atom
# Crystal system = monoclinic
# ΔE to the lowest computed polymorph = 0.26 eV/f.u.
# N(E_F) = 18.589 states/eV per cell
# ρ = 8.9 g/cm3
data_HoEr3Tc
_cell_length_a 11.584
_cell_length_b 8.560
_cell_length_c 7.812
_cell_angle_alpha 90.00
_cell_angle_beta 132.32
_cell_angle_gamma 90.00
_symmetry_space_group_name_H-M 'C 1 2/m 1'
_symmetry_Int_Tables_number 12
loop_
_symmetry_equiv_pos_as_xyz
'x,y,z'
'-x,-y,-z'
'-x,y,-z'
'x,-y,z'
'x+1/2,y+1/2,z'
'-x+1/2,-y+1/2,-z'
'-x+1/2,y+1/2,-z'
'x+1/2,-y+1/2,z'
loop_
_atom_site_label
_atom_site_fract_x
_atom_site_fract_y
_atom_site_fract_z
Ho1 0.054 0.000 0.347
Er1 0.054 0.500 0.259
Er2 0.250 0.196 0.205
Tc1 0.250 0.000 0.876



(18)
# Ho5Er4Tc2 PBE relaxed
# Formation energy = 0.0375 eV/atom
# Crystal system = monoclinic
# N(E_F) = 14.444 states/eV per cell
# ρ = 9.1 g/cm3
data_Ho5Er4Tc2
_cell_length_a 8.293
_cell_length_b 3.599
_cell_length_c 10.348
_cell_angle_alpha 90.00
_cell_angle_beta 91.66
_cell_angle_gamma 90.00
_symmetry_space_group_name_H-M 'P 1 2/m 1'
_symmetry_Int_Tables_number 10
loop_
_symmetry_equiv_pos_as_xyz
'x,y,z'
'-x,-y,-z'
'-x,y,-z'
'x,-y,z'
loop_
_atom_site_label
_atom_site_fract_x
_atom_site_fract_y
_atom_site_fract_z
Ho1 0.000 0.000 0.000
Ho2 0.062 0.000 0.341
Ho3 0.341 0.000 0.844
Er1 0.317 0.500 0.145
Er2 0.317 0.500 0.552
Tc1 0.418 0.000 0.344



(19)
# HoEr3Tc PBE relaxed
# Formation energy = -0.0867 eV/atom
# Crystal system = monoclinic
# ΔE to the lowest computed polymorph = 0.00 eV/f.u.
# N(E_F) = 20.947 states/eV per cell
# ρ = 9.4 g/cm3
data_HoEr3Tc
_cell_length_a 11.978
_cell_length_b 3.852
_cell_length_c 12.690
_cell_angle_alpha 90.00
_cell_angle_beta 112.53
_cell_angle_gamma 90.00
_symmetry_space_group_name_H-M 'C 1 m 1'
_symmetry_Int_Tables_number 8
loop_
_symmetry_equiv_pos_as_xyz
'x,y,z'
'x,-y,z'
'x+1/2,y+1/2,z'
'x+1/2,-y+1/2,z'
loop_
_atom_site_label
_atom_site_fract_x
_atom_site_fract_y
_atom_site_fract_z
Ho1 0.000 0.000 0.000
Ho2 0.118 0.000 0.284
Er1 0.127 0.000 0.618
Er2 0.245 0.000 0.900
Er3 0.274 0.500 0.144
Er4 0.302 0.500 0.521
Er5 0.443 0.000 0.381
Er6 0.471 0.000 0.756
Tc1 0.303 0.500 0.755
Tc2 0.442 0.000 0.146



(20)
# Ho3Er2Tc2 PBE relaxed
# Formation energy = -0.0873 eV/atom
# Crystal system = monoclinic
# N(E_F) = 9.811 states/eV per cell
# ρ = 9.6 g/cm3
data_Ho3Er2Tc2
_cell_length_a 12.177
_cell_length_b 3.785
_cell_length_c 8.360
_cell_angle_alpha 90.00
_cell_angle_beta 113.06
_cell_angle_gamma 90.00
_symmetry_space_group_name_H-M 'C 1 2/m 1'
_symmetry_Int_Tables_number 12
loop_
_symmetry_equiv_pos_as_xyz
'x,y,z'
'-x,-y,-z'
'-x,y,-z'
'x,-y,z'
'x+1/2,y+1/2,z'
'-x+1/2,-y+1/2,-z'
'-x+1/2,y+1/2,-z'
'x+1/2,-y+1/2,z'
loop_
_atom_site_label
_atom_site_fract_x
_atom_site_fract_y
_atom_site_fract_z
Ho1 0.000 0.000 0.000
Ho2 0.125 0.000 0.435
Er1 0.162 0.500 0.819
Tc1 0.179 0.500 0.214